1.
Compound: Li2GaHRu
Source: Alexandria via LeMat-Bulk
Functional: PBE
Structure: optimized geometry

Geometry as POSCAR:
```
Li2GaHRu
1.0
-2.339 -2.803 0.655
2.876 -2.240 0.683
-0.129 1.006 3.845
Ru Li H Ga
1 2 1 1
direct
0.000 0.000 0.500
0.500 0.000 0.000
0.000 0.500 0.000
0.000 0.000 0.000
0.500 0.500 0.500
```



2.
Compound: Li2GaSbH
Source: Alexandria via LeMat-Bulk
Functional: PBE
Structure: optimized geometry

Geometry as POSCAR:
```
Li2GaSbH
1.0
-2.269 -0.947 3.338
-1.100 -3.586 -1.766
3.616 -2.035 1.881
Li H Sb Ga
2 1 1 1
direct
0.000 0.500 0.000
0.500 0.000 0.000
0.000 0.000 0.000
0.500 0.500 0.500
0.000 0.000 0.500
```



3.
Compound: Li2ScGaH
Source: Alexandria via LeMat-Bulk
Functional: PBE
Structure: optimized geometry

Geometry as POSCAR:
```
Li2ScGaH
1.0
3.969 0.000 0.000
0.000 3.969 0.000
0.000 0.000 4.531
Li H Sc Ga
2 1 1 1
direct
0.000 0.500 0.000
0.500 0.000 0.000
0.000 0.000 0.000
0.000 0.000 0.500
0.500 0.500 0.500
```



4.
Compound: Li2GaSiH
Source: Alexandria via LeMat-Bulk
Functional: PBE
Structure: optimized geometry

Geometry as POSCAR:
```
Li2GaSiH
1.0
3.777 0.000 0.000
0.000 3.777 0.000
0.000 0.000 4.407
Li Ga H Si
2 1 1 1
direct
0.500 0.000 0.000
0.000 0.500 0.000
0.000 0.000 0.500
0.000 0.000 0.000
0.500 0.500 0.500
```



5.
Compound: Li2GaSnH
Source: Alexandria via LeMat-Bulk
Functional: PBE
Structure: optimized geometry

Geometry as POSCAR:
```
Li2GaSnH
1.0
4.108 0.000 0.000
0.000 4.108 0.000
0.000 0.000 4.511
H Li Sn Ga
1 2 1 1
direct
0.000 0.000 0.000
0.000 0.500 0.000
0.500 0.000 0.000
0.500 0.500 0.500
0.000 0.000 0.500
```

Values from the calculation:
Polymorph energy (0 for the lowest one) ... 0.0000 eV per atom



6.
Compound: Li2GaSnH
Source: Alexandria via LeMat-Bulk
Functional: PBE
Structure: optimized geometry

Geometry as POSCAR:
```
Li2GaSnH
1.0
-2.067 3.537 -0.580
-0.740 -1.076 -3.926
-3.820 -2.024 1.275
Ga Li H Sn
1 2 1 1
direct
0.500 0.500 0.500
0.000 0.500 0.000
0.500 0.000 0.000
0.000 0.000 0.000
0.000 0.000 0.500
```

Values from the calculation:
Polymorph energy (0 for the lowest one) ... 0.0641 eV per atom



7.
Compound: LiGaSnH6
Source: Alexandria via LeMat-Bulk
Functional: PBE
Structure: optimized geometry

Geometry as POSCAR:
```
LiGaSnH6
1.0
-1.023 2.056 -4.224
2.701 -0.962 -3.859
-2.855 -3.653 -1.087
Ga H Li Sn
1 6 1 1
direct
0.333 0.333 0.500
0.631 0.339 0.723
0.339 0.030 0.723
0.030 0.631 0.723
0.030 0.339 0.277
0.339 0.631 0.277
0.631 0.030 0.277
0.667 0.667 0.500
0.000 0.000 0.000
```



8.
Compound: LiGaSn2H
Source: Alexandria via LeMat-Bulk
Functional: PBE
Structure: optimized geometry

Geometry as POSCAR:
```
LiGaSn2H
1.0
4.802 0.000 0.000
0.000 4.802 0.000
0.000 0.000 4.047
Sn Li H Ga
2 1 1 1
direct
0.500 0.000 0.000
0.000 0.500 0.000
0.000 0.000 0.500
0.000 0.000 0.000
0.500 0.500 0.500
```



9.
Compound: LiGa2SnH
Source: Alexandria via LeMat-Bulk
Functional: PBE
Structure: optimized geometry

Geometry as POSCAR:
```
LiGa2SnH
1.0
-4.204 1.200 -0.660
-1.304 -4.157 0.749
-0.397 0.864 4.100
Li Sn Ga H
1 1 2 1
direct
0.000 0.000 0.500
0.500 0.500 0.500
0.500 0.000 0.000
0.000 0.500 0.000
0.000 0.000 0.000
```



10.
Compound: Sr2LiGaH
Source: Alexandria via LeMat-Bulk
Functional: PBE
Structure: optimized geometry

Geometry as POSCAR:
```
Sr2LiGaH
1.0
-4.289 2.950 1.348
-2.754 -4.493 1.068
1.370 0.129 4.077
H Sr Ga Li
1 2 1 1
direct
0.000 0.000 0.000
0.000 0.500 0.000
0.500 0.000 0.000
0.000 0.000 0.500
0.500 0.500 0.500
```

Values from the calculation:
Polymorph energy (0 for the lowest one) ... 0.1552 eV per atom



11.
Compound: SrLiGaH2
Source: Alexandria via LeMat-Bulk
Functional: PBE
Structure: optimized geometry

Geometry as POSCAR:
```
SrLiGaH2
1.0
-0.989 4.169 -0.959
-5.519 -2.186 -3.811
-2.549 0.216 3.568
Sr Li H Ga
1 1 2 1
direct
0.000 0.000 0.000
0.000 0.500 0.000
0.000 0.000 0.500
0.500 0.000 0.000
0.500 0.500 0.500
```



12.
Compound: SrLiGaH6
Source: Alexandria via LeMat-Bulk
Functional: PBE
Structure: optimized geometry

Geometry as POSCAR:
```
SrLiGaH6
1.0
4.886 0.001 0.000
2.444 4.231 0.000
0.000 -0.001 4.986
H Sr Li Ga
6 1 1 1
direct
0.022 0.370 0.295
0.370 0.022 0.705
0.022 0.608 0.705
0.607 0.370 0.705
0.608 0.022 0.295
0.370 0.607 0.295
0.000 0.000 0.000
0.667 0.667 0.500
0.333 0.333 0.500
```



13.
Compound: Sr2LiGaH
Source: Alexandria via LeMat-Bulk
Functional: PBE
Structure: optimized geometry

Geometry as POSCAR:
```
Sr2LiGaH
1.0
5.398 0.000 0.000
0.000 5.398 0.000
0.000 0.000 4.094
Ga Li Sr H
1 1 2 1
direct
0.500 0.500 0.500
0.000 0.000 0.500
0.500 0.000 0.000
0.000 0.500 0.000
0.000 0.000 0.000
```

Values from the calculation:
Polymorph energy (0 for the lowest one) ... 0.0000 eV per atom



14.
Compound: Li2TaGaH
Source: Alexandria via LeMat-Bulk
Functional: PBE
Structure: optimized geometry

Geometry as POSCAR:
```
Li2TaGaH
1.0
3.780 0.000 0.000
0.000 4.710 0.000
0.000 0.000 3.780
Li Ta H Ga
2 1 1 1
direct
0.500 0.000 0.000
0.000 0.000 0.500
0.500 0.500 0.500
0.000 0.000 0.000
0.000 0.500 0.000
```

Values from the calculation:
Polymorph energy (0 for the lowest one) ... 0.3907 eV per atom



15.
Compound: Li2TaGaH
Source: Alexandria via LeMat-Bulk
Functional: PBE
Structure: optimized geometry

Geometry as POSCAR:
```
Li2TaGaH
1.0
-0.384 3.684 -0.983
-2.144 -1.134 -3.413
-3.269 0.191 1.991
Ta Li H Ga
1 2 1 1
direct
0.000 0.500 0.000
0.000 0.000 0.500
0.500 0.000 0.000
0.000 0.000 0.000
0.500 0.500 0.500
```

Values from the calculation:
Polymorph energy (0 for the lowest one) ... 0.0000 eV per atom



16.
Compound: LiTiGa2H
Source: Alexandria via LeMat-Bulk
Functional: PBE
Structure: optimized geometry

Geometry as POSCAR:
```
LiTiGa2H
1.0
-0.300 -4.596 2.235
3.713 -2.060 -3.737
3.850 1.269 3.126
Ti Li Ga H
1 1 2 1
direct
0.000 0.000 0.000
0.000 0.500 0.000
0.500 0.000 0.000
0.000 0.000 0.500
0.500 0.500 0.500
```



17.
Compound: LiTlGa2H
Source: Alexandria via LeMat-Bulk
Functional: PBE
Structure: optimized geometry

Geometry as POSCAR:
```
LiTlGa2H
1.0
4.595 0.000 0.000
0.000 4.595 0.000
0.000 0.000 4.062
Tl Li Ga H
1 1 2 1
direct
0.500 0.500 0.500
0.000 0.000 0.500
0.000 0.500 0.000
0.500 0.000 0.000
0.000 0.000 0.000
```



18.
Compound: LiV2GaH
Source: Alexandria via LeMat-Bulk
Functional: PBE
Structure: optimized geometry

Geometry as POSCAR:
```
LiV2GaH
1.0
3.657 0.000 0.000
0.000 3.657 0.000
0.000 0.000 4.161
Ga Li H V
1 1 1 2
direct
0.500 0.500 0.500
0.000 0.000 0.500
0.000 0.000 0.000
0.000 0.500 0.000
0.500 0.000 0.000
```



19.
Compound: Li2VGaH
Source: Alexandria via LeMat-Bulk
Functional: PBE
Structure: optimized geometry

Geometry as POSCAR:
```
Li2VGaH
1.0
-1.069 2.263 -2.761
-0.488 -2.947 -2.227
-3.942 -0.310 1.273
V Li Ga H
1 2 1 1
direct
0.000 0.000 0.500
0.000 0.500 0.000
0.500 0.000 0.000
0.500 0.500 0.500
0.000 0.000 0.000
```



20.
Compound: LiYGa2H
Source: Alexandria via LeMat-Bulk
Functional: PBE
Structure: optimized geometry

Geometry as POSCAR:
```
LiYGa2H
1.0
5.649 0.000 0.000
0.000 6.517 0.000
0.000 0.000 5.649
Ga Y Li H
2 1 1 1
direct
0.000 0.000 0.500
0.500 0.000 0.000
0.000 0.000 0.000
0.000 0.500 0.000
0.500 0.500 0.500
```



no.,Fermi-level density of states (states/eV/cell),uncorrected energy (eV per cell)
1,2.0,-20.8
2,0.4,-15.8
3,2.3,-18.4
4,0.9,-16.3
5,2.4,-15.2
6,1.7,-14.9
7,1.0,-27.7
8,2.3,-16.0
9,1.1,-15.5
10,2.4,-12.6
11,1.8,-12.1
12,0.0,-28.5
13,2.1,-13.3
14,2.6,-20.7
15,1.8,-22.6
16,3.4,-13.7
17,1.8,-13.4
18,1.1,-27.2
19,1.6,-20.0
20,6.8,-11.7